(1)
## Lu2HfO4 (PBE)

Data for an optimized crystal structure of Lu2HfO4.

Cell: 6.4971 6.4971 6.4971 Å, 60.00 60.00 60.00°
Last column: nearest neighbours and their distance in Å.
Element x y z (fractional)
Lu: 0.0000 0.0000 0.0000  6 O 2.29
Lu: 0.0000 0.0000 0.5000  6 O 2.29
Lu: 0.0000 0.5000 0.0000  6 O 2.29
Lu: 0.5000 0.0000 0.0000  6 O 2.29
Hf: 0.3750 0.3750 0.3750  4 O 2.00
Hf: 0.6250 0.6250 0.6250  4 O 2.00
O: 0.2483 0.7506 0.7506  1 Hf 2.00
O: 0.2494 0.2494 0.2494  1 Hf 2.00
O: 0.2494 0.2494 0.7517  1 Hf 2.00
O: 0.2494 0.7517 0.2494  1 Hf 2.00
O: 0.7506 0.2483 0.7506  1 Hf 2.00
O: 0.7506 0.7506 0.2483  1 Hf 2.00
O: 0.7506 0.7506 0.7506  1 Hf 2.00
O: 0.7517 0.2494 0.2494  1 Hf 2.00

## Properties
**Total energy**: -8.544 eV per atom
**Magnetization**: 0.00 μB per formula unit
**Volume**: 13.9 A^3/atom

---

(2)
## Lu2HfOs (PBE)

Data for an optimized crystal structure of Lu2HfOs.

Cell: 4.9049 4.9049 4.9049 Å, 60.00 60.00 60.00°
Last column: nearest neighbours and their distance in Å.
Element x y z (fractional)
Lu: 0.0000 0.0000 0.0000  4 Hf 3.00, 4 Lu 3.00
Lu: 0.2500 0.2500 0.2500  4 Os 3.00, 4 Lu 3.00
Hf: 0.7500 0.7500 0.7500  4 Os 3.00, 4 Lu 3.00
Os: 0.5000 0.5000 0.5000  4 Hf 3.00, 4 Lu 3.00

## Properties
**Energy of formation from the pure elements**: 0.008 eV per atom
**Total energy**: -7.549 eV per atom
**Magnetization**: 0.07 μB per formula unit
**Volume**: 20.9 A^3/atom

---

(3)
## LuHfPa (PBE)

Data for an optimized crystal structure of LuHfPa.

Cell: 4.9846 4.9846 4.9846 Å, 60.00 60.00 60.00°
Last column: nearest neighbours and their distance in Å.
Element x y z (fractional)
Lu: 0.0000 0.0000 0.0000  4 Hf 3.05
Hf: 0.2500 0.2500 0.2500  4 Pa 3.05, 4 Lu 3.05
Pa: 0.5000 0.5000 0.5000  4 Hf 3.05

## Properties
**Energy of formation from the pure elements**: 0.899 eV per atom
**Total energy**: -7.093 eV per atom
**Magnetization**: 1.85 μB per formula unit
**Volume**: 29.2 A^3/atom

---

(4)
## LuHf2Pb (PBE)

Data for an optimized crystal structure of LuHf2Pb.

Cell: 5.1027 5.1027 5.1027 Å, 60.00 60.00 60.00°
Last column: nearest neighbours and their distance in Å.
Element x y z (fractional)
Lu: 0.0000 0.0000 0.0000  4 Pb 3.12, 4 Hf 3.12
Hf: 0.2500 0.2500 0.2500  4 Hf 3.12, 4 Lu 3.12
Hf: 0.5000 0.5000 0.5000  4 Pb 3.12, 4 Hf 3.12
Pb: 0.7500 0.7500 0.7500  4 Hf 3.12, 4 Lu 3.12

## Properties
**Total energy**: -6.878 eV per atom
**Magnetization**: 1.02 μB per formula unit
**Volume**: 23.5 A^3/atom

---

(5)
## LuHfPd2 (PBE)

Data for an optimized crystal structure of LuHfPd2.

Cell: 4.6655 4.6655 4.6655 Å, 60.00 60.00 60.00°
Last column: nearest neighbours and their distance in Å.
Element x y z (fractional)
Lu: 0.0000 0.0000 0.0000  4 Hf 2.86, 4 Pd 2.86
Hf: 0.7500 0.7500 0.7500  4 Pd 2.86, 4 Lu 2.86
Pd: 0.2500 0.2500 0.2500  4 Pd 2.86, 4 Lu 2.86
Pd: 0.5000 0.5000 0.5000  4 Hf 2.86, 4 Pd 2.86

## Properties
**Energy of formation from the pure elements**: -0.460 eV per atom
**Total energy**: -6.667 eV per atom
**Magnetization**: 0.00 μB per formula unit
**Volume**: 18.0 A^3/atom

---

(6)
## LuHfPd (PBE)

Data for an optimized crystal structure of LuHfPd.

Cell: 4.6538 4.6538 4.6538 Å, 60.00 60.00 60.00°
Last column: nearest neighbours and their distance in Å.
Element x y z (fractional)
Lu: 0.0000 0.0000 0.0000  4 Pd 2.85
Hf: 0.5000 0.5000 0.5000  4 Pd 2.85
Pd: 0.7500 0.7500 0.7500  4 Hf 2.85, 4 Lu 2.85

## Properties
**Energy of formation from the pure elements**: -0.243 eV per atom
**Total energy**: -6.794 eV per atom
**Magnetization**: 0.02 μB per formula unit
**Volume**: 23.8 A^3/atom

---

(7)
## PmLuHf (PBE)

Data for an optimized crystal structure of PmLuHf.

Cell: 5.1890 5.1890 5.1890 Å, 60.00 60.00 60.00°
Last column: nearest neighbours and their distance in Å.
Element x y z (fractional)
Pm: 0.0000 0.0000 0.0000  4 Hf 3.18
Lu: 0.5000 0.5000 0.5000  4 Hf 3.18
Hf: 0.7500 0.7500 0.7500  4 Lu 3.18, 4 Pm 3.18

## Properties
**Energy of formation from the pure elements**: 0.860 eV per atom
**Total energy**: -5.548 eV per atom
**Magnetization**: 0.71 μB per formula unit
**Volume**: 32.9 A^3/atom

---

(8)
## LuPuHf (PBE)

Data for an optimized crystal structure of LuPuHf.

Cell: 5.0148 5.0148 5.0148 Å, 60.00 60.00 60.00°
Last column: nearest neighbours and their distance in Å.
Element x y z (fractional)
Lu: 0.0000 0.0000 0.0000  4 Hf 3.07
Pu: 0.5000 0.5000 0.5000  4 Hf 3.07
Hf: 0.2500 0.2500 0.2500  4 Pu 3.07, 4 Lu 3.07

## Properties
**Energy of formation from the pure elements**: 0.809 eV per atom
**Total energy**: -8.726 eV per atom
**Magnetization**: 6.13 μB per formula unit
**Volume**: 29.7 A^3/atom

---

(9)
## Lu2HfRe (PBE)

Data for an optimized crystal structure of Lu2HfRe.

Cell: 4.9491 4.9491 4.9491 Å, 60.00 60.00 60.00°
Last column: nearest neighbours and their distance in Å.
Element x y z (fractional)
Lu: 0.0000 0.0000 0.0000  4 Hf 3.03, 4 Lu 3.03
Lu: 0.2500 0.2500 0.2500  4 Re 3.03, 4 Lu 3.03
Hf: 0.7500 0.7500 0.7500  4 Re 3.03, 4 Lu 3.03
Re: 0.5000 0.5000 0.5000  4 Hf 3.03, 4 Lu 3.03

## Properties
**Energy of formation from the pure elements**: 0.149 eV per atom
**Total energy**: -7.708 eV per atom
**Magnetization**: 0.00 μB per formula unit
**Volume**: 21.4 A^3/atom

---

(10)
## LuHfRe2 (PBE)

Data for an optimized crystal structure of LuHfRe2.

Cell: 4.6536 4.6536 4.6536 Å, 60.00 60.00 60.00°
Last column: nearest neighbours and their distance in Å.
Element x y z (fractional)
Lu: 0.0000 0.0000 0.0000  4 Hf 2.85, 4 Re 2.85
Hf: 0.7500 0.7500 0.7500  4 Re 2.85, 4 Lu 2.85
Re: 0.2500 0.2500 0.2500  4 Re 2.85, 4 Lu 2.85
Re: 0.5000 0.5000 0.5000  4 Hf 2.85, 4 Re 2.85

## Properties
**Energy of formation from the pure elements**: 0.121 eV per atom
**Total energy**: -9.710 eV per atom
**Magnetization**: 0.01 μB per formula unit
**Volume**: 17.8 A^3/atom

---

(11)
## LuHf2Sb (PBE)

Data for an optimized crystal structure of LuHf2Sb.

Cell: 5.0591 5.0591 5.0591 Å, 60.00 60.00 60.00°
Last column: nearest neighbours and their distance in Å.
Element x y z (fractional)
Lu: 0.0000 0.0000 0.0000  4 Sb 3.10, 4 Hf 3.10
Hf: 0.2500 0.2500 0.2500  4 Hf 3.10, 4 Lu 3.10
Hf: 0.5000 0.5000 0.5000  4 Sb 3.10, 4 Hf 3.10
Sb: 0.7500 0.7500 0.7500  4 Hf 3.10, 4 Lu 3.10

## Properties
**Total energy**: -7.155 eV per atom
**Magnetization**: 1.58 μB per formula unit
**Volume**: 22.9 A^3/atom

---

(12)
## Lu2HfSc (PBE)

Data for an optimized crystal structure of Lu2HfSc.

Cell: 5.2628 5.2628 5.2628 Å, 60.00 60.00 60.00°
Last column: nearest neighbours and their distance in Å.
Element x y z (fractional)
Lu: 0.0000 0.0000 0.0000  4 Hf 3.22, 4 Lu 3.22
Lu: 0.2500 0.2500 0.2500  4 Sc 3.22, 4 Lu 3.22
Hf: 0.7500 0.7500 0.7500  4 Sc 3.22, 4 Lu 3.22
Sc: 0.5000 0.5000 0.5000  4 Hf 3.22, 4 Lu 3.22

## Properties
**Energy of formation from the pure elements**: 0.234 eV per atom
**Total energy**: -6.099 eV per atom
**Magnetization**: 2.39 μB per formula unit
**Volume**: 25.8 A^3/atom

---

(13)
## LuHf2Si (PBE)

Data for an optimized crystal structure of LuHf2Si.

Cell: 4.8789 4.8789 4.8789 Å, 60.00 60.00 60.00°
Last column: nearest neighbours and their distance in Å.
Element x y z (fractional)
Lu: 0.0000 0.0000 0.0000  4 Si 2.99, 4 Hf 2.99
Hf: 0.2500 0.2500 0.2500  4 Hf 2.99, 4 Lu 2.99
Hf: 0.5000 0.5000 0.5000  4 Si 2.99, 4 Hf 2.99
Si: 0.7500 0.7500 0.7500  4 Hf 2.99, 4 Lu 2.99

## Properties
**Total energy**: -7.423 eV per atom
**Magnetization**: 1.00 μB per formula unit
**Volume**: 20.5 A^3/atom

---

(14)
## LuHfSi (PBE)

Data for an optimized crystal structure of LuHfSi.

Cell: 4.5727 4.5727 4.5727 Å, 60.00 60.00 60.00°
Last column: nearest neighbours and their distance in Å.
Element x y z (fractional)
Lu: 0.0000 0.0000 0.0000  4 Si 2.80
Hf: 0.5000 0.5000 0.5000  4 Si 2.80
Si: 0.7500 0.7500 0.7500  4 Hf 2.80, 4 Lu 2.80

## Properties
**Total energy**: -6.899 eV per atom
**Magnetization**: 0.02 μB per formula unit
**Volume**: 22.5 A^3/atom

---

(15)
## LuHfSn2 (PBE)

Data for an optimized crystal structure of LuHfSn2.

Cell: 4.4308 4.4308 4.4308 Å, 60.00 60.00 60.00°
Last column: nearest neighbours and their distance in Å.
Element x y z (fractional)
Lu: 0.0000 0.0000 0.0000  4 Hf 2.71, 4 Sn 2.71
Hf: 0.7500 0.7500 0.7500  4 Sn 2.71, 4 Lu 2.71
Sn: 0.2500 0.2500 0.2500  4 Sn 2.71, 4 Lu 2.71
Sn: 0.5000 0.5000 0.5000  4 Hf 2.71, 4 Sn 2.71

## Properties
**Total energy**: -3.822 eV per atom
**Magnetization**: 0.02 μB per formula unit
**Volume**: 15.4 A^3/atom